First-principles (PBE) data for an optimized crystal structure of ZrSc2Cl, as listed in Alexandria via LeMat-Bulk.

The structure in POSCAR format:
```
ZrSc2Cl
1.0
-2.127 2.127 4.954
2.127 -2.127 4.954
2.127 2.127 -4.954
Zr Sc Cl
1 2 1
Direct
0.000 0.000 0.000
0.500 0.500 0.000
0.750 0.250 0.500
0.250 0.750 0.500
```

Results
symmetry: No. 119
VASP energy: -0.209 Ha/atom
DOS at the Fermi energy: 5.545 states/eV/f.u.
offset from the most stable computed form: 67.7 kJ/mol of atoms